No. 1
# GGA-PBE In2PbBr5, optimized geometry
# ΔE_f (raw) (eV per atom): -0.7268
# Electronic total energy (eV for the cell shown): -46.7
# Total magnetization (μB per atom): 0.000
data_In2PbBr5
_cell_length_a 5.912
_cell_length_b 7.796
_cell_length_c 15.202
_cell_angle_alpha 90.00
_cell_angle_beta 90.00
_cell_angle_gamma 112.28
_symmetry_space_group_name_H-M 'P 1'
_symmetry_Int_Tables_number 1
loop_
_symmetry_equiv_pos_as_xyz
'x,y,z'
loop_
_atom_site_label
_atom_site_fract_x
_atom_site_fract_y
_atom_site_fract_z
_atom_site_occupancy
Br1 0.667 0.335 0.928 1
Br2 0.749 0.498 0.250 1
In1 0.149 0.299 0.558 1
Br3 0.947 0.893 0.882 1
In2 0.149 0.299 0.942 1
Pb1 0.799 0.598 0.750 1
Br4 0.947 0.893 0.618 1
Br5 0.053 0.107 0.382 1
Br6 0.251 0.502 0.750 1
Br7 0.667 0.335 0.572 1
Pb2 0.201 0.402 0.250 1
Br8 0.333 0.665 0.428 1
In3 0.851 0.701 0.442 1
In4 0.851 0.701 0.058 1
Br9 0.333 0.665 0.072 1
Br10 0.053 0.107 0.118 1


No. 2
# GGA-PBE HgTeCl2, optimized geometry
# ΔE_f (raw) (eV per atom): -0.0853
# Electronic total energy (eV for the cell shown): -7.5
# Total magnetization (μB per atom): 0.054
data_HgTeCl2
_cell_length_a 5.202
_cell_length_b 5.230
_cell_length_c 5.181
_cell_angle_alpha 67.65
_cell_angle_beta 76.61
_cell_angle_gamma 112.50
_symmetry_space_group_name_H-M 'P 1'
_symmetry_Int_Tables_number 1
loop_
_symmetry_equiv_pos_as_xyz
'x,y,z'
loop_
_atom_site_label
_atom_site_fract_x
_atom_site_fract_y
_atom_site_fract_z
_atom_site_occupancy
Hg1 0.000 0.500 0.500 1
Te1 0.500 0.500 0.000 1
Cl1 0.000 0.000 0.000 1
Cl2 0.500 0.000 0.500 1


No. 3
# GGA-PBE TbPmPrY, optimized geometry
# Energy of formation from the pure elements (eV per atom): 0.1131
# Electronic total energy (eV for the cell shown): -20.2
# Total magnetization (μB per atom): 0.000
data_TbPmPrY
_cell_length_a 5.767
_cell_length_b 5.767
_cell_length_c 5.767
_cell_angle_alpha 60.00
_cell_angle_beta 60.00
_cell_angle_gamma 60.00
_symmetry_space_group_name_H-M 'P 1'
_symmetry_Int_Tables_number 1
loop_
_symmetry_equiv_pos_as_xyz
'x,y,z'
loop_
_atom_site_label
_atom_site_fract_x
_atom_site_fract_y
_atom_site_fract_z
_atom_site_occupancy
Y1 0.750 0.750 0.750 1
Pr1 0.500 0.500 0.500 1
Pm1 0.000 0.000 0.000 1
Tb1 0.250 0.250 0.250 1


No. 4
# GGA-PBE HoBeGa, optimized geometry
# Energy of formation from the pure elements (eV per atom): -0.3839
# Electronic total energy (eV for the cell shown): -25.0
# Total magnetization (μB per atom): 0.000
data_HoBeGa
_cell_length_a 4.132
_cell_length_b 5.538
_cell_length_c 5.538
_cell_angle_alpha 82.09
_cell_angle_beta 68.10
_cell_angle_gamma 68.10
_symmetry_space_group_name_H-M 'P 1'
_symmetry_Int_Tables_number 1
loop_
_symmetry_equiv_pos_as_xyz
'x,y,z'
loop_
_atom_site_label
_atom_site_fract_x
_atom_site_fract_y
_atom_site_fract_z
_atom_site_occupancy
Be1 0.000 0.841 0.159 1
Be2 0.000 0.159 0.841 1
Ga1 0.500 0.677 0.323 1
Ga2 0.500 0.323 0.677 1
Ho1 0.746 0.754 0.754 1
Ho2 0.254 0.246 0.246 1


No. 5
# GGA-PBE Rb2AlIn7, optimized geometry
# Energy of formation from the pure elements (eV per atom): -0.0691
# Electronic total energy (eV for the cell shown): -25.5
# Total magnetization (μB per atom): 0.000
data_Rb2AlIn7
_cell_length_a 4.982
_cell_length_b 4.982
_cell_length_c 12.638
_cell_angle_alpha 90.00
_cell_angle_beta 90.00
_cell_angle_gamma 90.00
_symmetry_space_group_name_H-M 'P 1'
_symmetry_Int_Tables_number 1
loop_
_symmetry_equiv_pos_as_xyz
'x,y,z'
loop_
_atom_site_label
_atom_site_fract_x
_atom_site_fract_y
_atom_site_fract_z
_atom_site_occupancy
Rb1 0.500 0.000 0.755 1
Rb2 0.000 0.500 0.245 1
In1 0.000 0.000 0.000 1
In2 0.000 0.000 0.500 1
In3 0.000 0.500 0.639 1
Al1 0.500 0.500 0.000 1
In4 0.000 0.500 0.872 1
In5 0.500 0.500 0.500 1
In6 0.500 0.000 0.128 1
In7 0.500 0.000 0.361 1


No. 6
# GGA-PBE LiCrTc2, optimized geometry
# Energy of formation from the pure elements (eV per atom): 0.2361
# Electronic total energy (eV for the cell shown): -31.3
# Total magnetization (μB per atom): 0.000
data_LiCrTc2
_cell_length_a 4.276
_cell_length_b 2.533
_cell_length_c 4.958
_cell_angle_alpha 80.07
_cell_angle_beta 90.00
_cell_angle_gamma 90.00
_symmetry_space_group_name_H-M 'P 1'
_symmetry_Int_Tables_number 1
loop_
_symmetry_equiv_pos_as_xyz
'x,y,z'
loop_
_atom_site_label
_atom_site_fract_x
_atom_site_fract_y
_atom_site_fract_z
_atom_site_occupancy
Li1 0.500 0.722 0.751 1
Tc1 0.000 0.038 0.982 1
Cr1 0.000 0.486 0.507 1
Tc2 0.500 0.253 0.260 1


Look up the electronic total energy of the sixth one.
-31.3 eV for the cell shown